A plane-wave DFT calculation with PBE-GGA was carried out for a geometry-optimized LiCdIn2 structure.

Computed properties:
E_form: -121 meV/atom
spin magnetization: 0.00 μB per cell
calculated volume: 22.6 A^3/atom

```
4
Lattice="-0.615 -1.603 3.997 0.745 -3.031 -1.101 6.843 -2.171 0.183" Properties=species:S:1:pos:R:3 pbc="T T T"
Cd 5.384 -4.703 1.310
Li 1.589 -2.102 1.769
In 0.054 -0.020 0.000
In 3.740 -2.580 -0.459
```